(1)
# NaCdFe2

A geometry-optimized NaCdFe2 structure (PBE-GGA, the Alexandria database).

Cell: 3.8175 3.8175 19.9780 Å, 90.00 90.00 90.00°
Last column: nearest neighbours and their distance in Å.
Atoms (fractional coordinates):
Na 0.0000 0.0000 0.0000  4 Cd 2.70, 4 Fe 2.90
Na 0.0000 0.5000 0.2500  4 Cd 2.70, 4 Fe 2.90
Na 0.5000 0.0000 0.7500  4 Cd 2.70, 4 Fe 2.90
Na 0.5000 0.5000 0.5000  4 Cd 2.70, 4 Fe 2.90
Cd 0.0000 0.0000 0.5000  4 Na 2.70, 4 Fe 2.78
Cd 0.0000 0.5000 0.7500  4 Na 2.70, 4 Fe 2.78
Cd 0.5000 0.0000 0.2500  4 Na 2.70, 4 Fe 2.78
Cd 0.5000 0.5000 0.0000  4 Na 2.70, 4 Fe 2.78
Fe 0.2026 0.2500 0.6250  2 Fe 2.46
Fe 0.2500 0.7026 0.8750  2 Fe 2.46
Fe 0.2500 0.7974 0.3750  2 Fe 2.46
Fe 0.2974 0.2500 0.1250  2 Fe 2.46
Fe 0.7026 0.7500 0.1250  2 Fe 2.46
Fe 0.7500 0.2026 0.3750  2 Fe 2.46
Fe 0.7500 0.2974 0.8750  2 Fe 2.46
Fe 0.7974 0.7500 0.6250  2 Fe 2.46

## Properties
* total DFT energy (no corrections): -3.987 eV/atom
* calculated density: 5.64 g/cm³
* ΔH_f (0 K): 77 kJ per mole of atoms
* space group: No. 122

(2)
# NaCdFe3

A geometry-optimized NaCdFe3 structure (PBE-GGA, the Alexandria database).

Cell: 4.9294 4.9294 4.9294 Å, 90.00 90.00 90.00°
Last column: nearest neighbours and their distance in Å.
Atoms (fractional coordinates):
Na 0.0000 0.0000 0.0000  12 Fe 3.49
Cd 0.5000 0.5000 0.5000  6 Fe 2.46
Fe 0.0000 0.5000 0.5000  2 Cd 2.46
Fe 0.5000 0.0000 0.5000  2 Cd 2.46
Fe 0.5000 0.5000 0.0000  2 Cd 2.46

## Properties
* distance to the lowest polymorph of the same formula: 0.0 meV/atom
* total DFT energy (no corrections): -4.045 eV/atom
* calculated density: 4.20 g/cm³
* ΔH_f (0 K): 143 kJ per mole of atoms
* space group: No. 221